Run w
Material: CaPr2Rh
Method: DFT, PBE-GGA
State: optimized geometry

Lattice parameters (Å, degrees): 4.094 12.685 9.343 90.00 90.00 90.00
Space group Cmcm (No. 63)
One atom of each set of equivalent atoms:
Ca1 0.000 0.075 0.250 x4
Pr1 0.000 0.356 0.063 x8
Rh1 0.000 0.242 0.750 x4

Summary:
size of the total moment: 0.0 Bohr magnetons per cell


Run x
Material: CaPr2Rh
Method: DFT, PBE-GGA
State: optimized geometry

Lattice parameters (Å, degrees): 3.9815 3.9815 32.5998 90.00 90.00 120.00
Space group R-3m (No. 166, hexagonal axes)
One atom of each set of equivalent atoms:
Ca1 0.0000 0.0000 0.0000 x3
Pr1 0.0000 0.0000 0.1159 x6
Rh1 0.0000 0.0000 0.5000 x3

Summary:
size of the total moment: 0.0 Bohr magnetons per cell


Run y
Material: CaPr2Rh
Method: DFT, PBE-GGA
State: optimized geometry

Lattice parameters (Å, degrees): 3.643 3.643 9.495 90.00 90.00 90.00
Space group P4/mmm (No. 123)
One atom of each set of equivalent atoms:
Ca1 0.000 0.000 0.000 x1
Pr1 0.500 0.500 0.324 x2
Rh1 0.000 0.000 0.500 x1

Summary:
size of the total moment: 0.0 Bohr magnetons per cell


We find run w to be the most stable, with the next structure 0.059 eV/atom higher.


Run w
Material: CaPr2Rh
Method: DFT, PBE-GGA
State: optimized geometry

Lattice parameters (Å, degrees): 7.467 10.024 6.469 90.00 90.00 90.00
Space group Pnma (No. 62)
One atom of each set of equivalent atoms:
Ca1 0.038 0.250 0.142 x4
Pr1 0.173 0.065 0.672 x8
Rh1 0.109 0.750 0.416 x4

Summary:
size of the total moment: 0.0 Bohr magnetons per cell


Run x
Material: CaPr2Rh
Method: DFT, PBE-GGA
State: optimized geometry

Lattice parameters (Å, degrees): 4.1277 4.1277 28.6081 90.00 90.00 120.00
Space group R3m (No. 160, hexagonal axes)
One atom of each set of equivalent atoms:
Ca1 0.0000 0.0000 0.0000 x3
Pr1 0.0000 0.0000 0.2229 x3
Pr2 0.0000 0.0000 0.4469 x3
Rh1 0.0000 0.0000 0.8351 x3

Summary:
size of the total moment: 0.0 Bohr magnetons per cell


We find run w to be the most stable, with the next structure 0.048 eV/atom higher.


Run w
Material: CaPrRh
Method: DFT, PBE-GGA
State: optimized geometry

Lattice parameters (Å, degrees): 3.545 3.545 13.348 90.00 90.00 90.00
Space group I4mm (No. 107)
One atom of each set of equivalent atoms:
Ca1 0.000 0.000 0.000 x2
Pr1 0.000 0.000 0.254 x2
Rh1 0.000 0.000 0.636 x2

Summary:
size of the total moment: 0.0 Bohr magnetons per cell


Run x
Material: CaPrRh
Method: DFT, PBE-GGA
State: optimized geometry

Lattice parameters (Å, degrees): 4.0968 4.0968 6.5458 90.00 90.00 120.00
Space group P3m1 (No. 156)
One atom of each set of equivalent atoms:
Ca1 0.0000 0.0000 0.0000 x1
Pr1 0.6667 0.3333 0.4778 x1
Rh1 0.3333 0.6667 0.2507 x1

Summary:
size of the total moment: 0.0 Bohr magnetons per cell


Run y
Material: CaPrRh
Method: DFT, PBE-GGA
State: optimized geometry

Lattice parameters (Å, degrees): 5.867 4.758 6.499 90.00 104.63 90.00
Space group P2_1/m (No. 11)
One atom of each set of equivalent atoms:
Ca1 0.076 0.250 0.297 x2
Pr1 0.479 0.250 0.808 x2
Rh1 0.371 0.750 0.578 x2

Summary:
size of the total moment: 0.0 Bohr magnetons per cell


Run z
Material: CaPrRh
Method: DFT, PBE-GGA
State: optimized geometry

Lattice parameters (Å, degrees): 12.781 3.882 6.841 90.00 91.51 90.00
Space group Cm (No. 8)
One atom of each set of equivalent atoms:
Ca1 0.000 0.000 0.000 x2
Ca2 0.233 0.500 0.800 x2
Pr1 0.019 0.000 0.502 x2
Pr2 0.287 0.000 0.308 x2
Rh1 0.129 0.500 0.244 x2
Rh2 0.396 0.000 0.702 x2

Summary:
size of the total moment: 0.0 Bohr magnetons per cell


We find run z to be the most stable, with the next structure 0.014 eV/atom higher.